No. 1
Material: LaSmSI
Method: DFT, GGA-PBE
State: relaxed

Cell: 4.0789 4.0789 23.8455 Å, 90.00 90.00 120.00°
Space group R3m (No. 160, hexagonal axes)
One atom of each set of equivalent atoms:
La1 0.0000 0.0000 0.0000 (multiplicity 3)
Sm1 0.0000 0.0000 0.2033 (multiplicity 3)
S1 0.0000 0.0000 0.5982 (multiplicity 3)
I1 0.0000 0.0000 0.7731 (multiplicity 3)

Output
**Formation energy (no corrections)**: -1.50 eV/atom
**E**: -5.333 eV per atom

No. 2
Material: TlPOs2
Method: DFT, GGA-PBE
State: relaxed

Cell: 2.877 4.953 10.381 Å, 90.00 90.00 90.00°
Space group Cmm2 (No. 35)
One atom of each set of equivalent atoms:
Tl1 0.000 0.000 0.000 (multiplicity 2)
P1 0.000 0.500 0.659 (multiplicity 2)
Os1 0.000 0.000 0.480 (multiplicity 2)
Os2 0.000 0.500 0.262 (multiplicity 2)

Output
**Polymorph energy (0 for the lowest one)**: 363 meV per atom
**Formation enthalpy at 0 K**: 0.76 eV/atom
**E**: -6.803 eV per atom

No. 3
Material: Sn5SbTe7
Method: DFT, GGA-PBE
State: relaxed

Cell: 14.728 4.408 26.486 Å, 90.00 90.03 90.00°
Space group C2/m (No. 12)
One atom of each set of equivalent atoms:
Sn1 0.000 0.000 0.000 (multiplicity 2)
Sn2 0.000 0.000 0.500 (multiplicity 2)
Sn3 0.044 0.500 0.148 (multiplicity 4)
Sn4 0.044 0.500 0.352 (multiplicity 4)
Sn5 0.227 0.500 0.924 (multiplicity 4)
Sn6 0.228 0.500 0.576 (multiplicity 4)
Sb1 0.207 0.000 0.750 (multiplicity 4)
Te1 0.065 0.500 0.750 (multiplicity 4)
Te2 0.089 0.000 0.891 (multiplicity 4)
Te3 0.090 0.000 0.610 (multiplicity 4)
Te4 0.136 0.500 0.038 (multiplicity 4)
Te5 0.136 0.500 0.462 (multiplicity 4)
Te6 0.187 0.000 0.180 (multiplicity 4)
Te7 0.187 0.000 0.320 (multiplicity 4)

Output
**Formation energy (no corrections)**: -0.20 eV/atom
**E**: -3.750 eV per atom

No. 4
Material: MgGaCu3
Method: DFT, GGA-PBE
State: relaxed

Cell: 4.489 4.489 4.489 Å, 90.00 90.00 90.00°
Space group Pm-3m (No. 221)
One atom of each set of equivalent atoms:
Mg1 0.000 0.000 0.000 (multiplicity 1)
Ga1 0.500 0.500 0.500 (multiplicity 1)
Cu1 0.000 0.500 0.500 (multiplicity 3)

Output
**Polymorph energy (0 for the lowest one)**: 201 meV per atom
**Formation enthalpy at 0 K**: 0.39 eV/atom
**E**: -2.988 eV per atom